Entry 1:
VASP calculation (PBE) on crystalline CsBN3 at its relaxed geometry.

Crystal system = cubic
N(E_F) = 2.360 states/eV/cell
Raw formation energy = 3973.1 meV/atom

```
data_CsBN3
_chemical_formula_sum 'Cs1 B1 N3'
_symmetry_space_group_name_H-M 'P m -3 m'
_symmetry_Int_Tables_number 221
_symmetry_space_group_name_Hall '-P 4 2 3'
_cell_length_a 4.4513
_cell_length_b 4.4513
_cell_length_c 4.4513
_cell_angle_alpha 90.00
_cell_angle_beta 90.00
_cell_angle_gamma 90.00
loop_
_atom_site_label
_atom_site_fract_x
_atom_site_fract_y
_atom_site_fract_z
Cs1 0.0000 0.0000 0.0000
B1 0.5000 0.5000 0.5000
N1 0.0000 0.0000 0.5000
```

Entry 2:
VASP calculation (PBE) on crystalline MnSnRuS at its relaxed geometry.

Crystal system = tetragonal
Distance to the lowest polymorph of the same formula = 0 meV/atom
N(E_F) = 2.435 states/eV/cell
Raw formation energy = -200.9 meV/atom

```
data_MnSnRuS
_chemical_formula_sum 'Mn1 Sn1 Ru1 S1'
_symmetry_space_group_name_H-M 'P 4 m m'
_symmetry_Int_Tables_number 99
_symmetry_space_group_name_Hall 'P 4 -2'
_cell_length_a 3.2573
_cell_length_b 3.2573
_cell_length_c 6.1525
_cell_angle_alpha 90.00
_cell_angle_beta 90.00
_cell_angle_gamma 90.00
loop_
_atom_site_label
_atom_site_fract_x
_atom_site_fract_y
_atom_site_fract_z
Mn1 0.0000 0.0000 0.0000
Sn1 0.0000 0.0000 0.5250
Ru1 0.5000 0.5000 0.2840
S1 0.5000 0.5000 0.9047
```

Entry 3:
VASP calculation (PBE) on crystalline TmPuTh2Sb5 at its relaxed geometry.

Crystal system = tetragonal
N(E_F) = 20.043 states/eV/cell
Raw formation energy = -121.4 meV/atom

```
data_TmPuTh2Sb5
_chemical_formula_sum 'Tm1 Pu1 Th2 Sb5'
_symmetry_space_group_name_H-M 'P 4/m m m'
_symmetry_Int_Tables_number 123
_symmetry_space_group_name_Hall '-P 4 2'
_cell_length_a 5.2433
_cell_length_b 5.2433
_cell_length_c 11.4846
_cell_angle_alpha 90.00
_cell_angle_beta 90.00
_cell_angle_gamma 90.00
loop_
_atom_site_label
_atom_site_fract_x
_atom_site_fract_y
_atom_site_fract_z
Tm1 0.0000 0.0000 0.0000
Pu1 0.0000 0.0000 0.5000
Th1 0.5000 0.5000 0.1958
Sb1 0.0000 0.0000 0.2495
Sb2 0.0000 0.5000 0.0000
Sb3 0.5000 0.5000 0.5000
```

Entry 4:
VASP calculation (PBE) on crystalline Ac2GaSi3Ir4 at its relaxed geometry.

Crystal system = tetragonal
N(E_F) = 6.703 states/eV/cell
Raw formation energy = -882.7 meV/atom

```
data_Ac2GaSi3Ir4
_chemical_formula_sum 'Ac2 Ga1 Si3 Ir4'
_symmetry_space_group_name_H-M 'P -4 m 2'
_symmetry_Int_Tables_number 115
_symmetry_space_group_name_Hall 'P -4 -2'
_cell_length_a 4.2820
_cell_length_b 4.2820
_cell_length_c 10.2954
_cell_angle_alpha 90.00
_cell_angle_beta 90.00
_cell_angle_gamma 90.00
loop_
_atom_site_label
_atom_site_fract_x
_atom_site_fract_y
_atom_site_fract_z
Ac1 0.0000 0.5000 0.2459
Ga1 0.5000 0.5000 0.0000
Si1 0.0000 0.0000 0.0000
Si2 0.0000 0.5000 0.6238
Ir1 0.0000 0.0000 0.5000
Ir2 0.0000 0.5000 0.8669
Ir3 0.5000 0.5000 0.5000
```

Entry 5:
VASP calculation (PBE) on crystalline Mn2Rh2S at its relaxed geometry.

Crystal system = tetragonal
Distance to the lowest polymorph of the same formula = 497 meV/atom
N(E_F) = 20.128 states/eV/cell
Raw formation energy = 567.1 meV/atom

```
data_Mn2Rh2S
_chemical_formula_sum 'Mn4 Rh4 S2'
_symmetry_space_group_name_H-M 'I 4/m m m'
_symmetry_Int_Tables_number 139
_symmetry_space_group_name_Hall '-I 4 2'
_cell_length_a 3.4987
_cell_length_b 3.4987
_cell_length_c 11.7199
_cell_angle_alpha 90.00
_cell_angle_beta 90.00
_cell_angle_gamma 90.00
loop_
_atom_site_label
_atom_site_fract_x
_atom_site_fract_y
_atom_site_fract_z
Mn1 0.0000 0.0000 0.0940
Rh1 0.0000 0.5000 0.2500
S1 0.0000 0.0000 0.5000
```

Entry 6:
VASP calculation (PBE) on crystalline La2PrNd6 at its relaxed geometry.

Crystal system = orthorhombic
ΔH_f (0 K) = 0.16 eV per atom
Distance to the lowest polymorph of the same formula = 0 meV/atom
N(E_F) = 35.869 states/eV/cell

```
data_La2PrNd6
_chemical_formula_sum 'La4 Pr2 Nd12'
_symmetry_space_group_name_H-M 'I m m m'
_symmetry_Int_Tables_number 71
_symmetry_space_group_name_Hall '-I 2 2'
_cell_length_a 3.5026
_cell_length_b 10.4637
_cell_length_c 17.7324
_cell_angle_alpha 90.00
_cell_angle_beta 90.00
_cell_angle_gamma 90.00
loop_
_atom_site_label
_atom_site_fract_x
_atom_site_fract_y
_atom_site_fract_z
La1 0.0000 0.0000 0.1665
Pr1 0.0000 0.0000 0.5000
Nd1 0.0000 0.1862 0.3334
Nd2 0.0000 0.1878 0.0000
```

Entry 7:
VASP calculation (PBE) on crystalline NpCuPbO6 at its relaxed geometry.

Crystal system = trigonal
N(E_F) = 6.061 states/eV/cell
Raw formation energy = -1592.4 meV/atom

```
data_NpCuPbO6
_chemical_formula_sum 'Np2 Cu2 Pb2 O12'
_symmetry_space_group_name_H-M 'P -3 1 c'
_symmetry_Int_Tables_number 163
_symmetry_space_group_name_Hall '-P 3 2c'
_cell_length_a 5.3366
_cell_length_b 5.3366
_cell_length_c 10.7207
_cell_angle_alpha 90.00
_cell_angle_beta 90.00
_cell_angle_gamma 120.00
loop_
_atom_site_label
_atom_site_fract_x
_atom_site_fract_y
_atom_site_fract_z
Np1 0.3333 0.6667 0.2500
Cu1 0.3333 0.6667 0.7500
Pb1 0.0000 0.0000 0.0000
O1 0.0016 0.3673 0.1453
```

Entry 8:
VASP calculation (PBE) on crystalline Sc2TlRe at its relaxed geometry.

Crystal system = tetragonal
ΔH_f (0 K) = -0.03 eV per atom
N(E_F) = 3.456 states/eV/cell

```
data_Sc2TlRe
_chemical_formula_sum 'Sc2 Tl1 Re1'
_symmetry_space_group_name_H-M 'P 4/m m m'
_symmetry_Int_Tables_number 123
_symmetry_space_group_name_Hall '-P 4 2'
_cell_length_a 4.6689
_cell_length_b 4.6689
_cell_length_c 3.5883
_cell_angle_alpha 90.00
_cell_angle_beta 90.00
_cell_angle_gamma 90.00
loop_
_atom_site_label
_atom_site_fract_x
_atom_site_fract_y
_atom_site_fract_z
Sc1 0.0000 0.5000 0.0000
Tl1 0.0000 0.0000 0.5000
Re1 0.5000 0.5000 0.5000
```

Entry 9:
VASP calculation (PBE) on crystalline CrRh4 at its relaxed geometry.

Crystal system = tetragonal
ΔH_f (0 K) = 0.44 eV per atom
Distance to the lowest polymorph of the same formula = 504 meV/atom
N(E_F) = 12.343 states/eV/cell

```
data_CrRh4
_chemical_formula_sum 'Cr2 Rh8'
_symmetry_space_group_name_H-M 'I 4/m m m'
_symmetry_Int_Tables_number 139
_symmetry_space_group_name_Hall '-I 4 2'
_cell_length_a 3.5736
_cell_length_b 3.5736
_cell_length_c 12.4862
_cell_angle_alpha 90.00
_cell_angle_beta 90.00
_cell_angle_gamma 90.00
loop_
_atom_site_label
_atom_site_fract_x
_atom_site_fract_y
_atom_site_fract_z
Cr1 0.0000 0.0000 0.0000
Rh1 0.0000 0.0000 0.4029
Rh2 0.0000 0.5000 0.2500
```

Entry 10:
VASP calculation (PBE) on crystalline Pm4HoEr7 at its relaxed geometry.

Crystal system = monoclinic
ΔH_f (0 K) = 0.28 eV per atom
Distance to the lowest polymorph of the same formula = 189 meV/atom
N(E_F) = 40.863 states/eV/cell

```
data_Pm4HoEr7
_chemical_formula_sum 'Pm8 Ho2 Er14'
_symmetry_space_group_name_H-M 'C 1 2/m 1'
_symmetry_Int_Tables_number 12
_symmetry_space_group_name_Hall '-C 2y'
_cell_length_a 12.0604
_cell_length_b 5.8664
_cell_length_c 12.7498
_cell_angle_alpha 90.00
_cell_angle_beta 118.21
_cell_angle_gamma 90.00
loop_
_atom_site_label
_atom_site_fract_x
_atom_site_fract_y
_atom_site_fract_z
Pm1 0.1404 0.0000 0.2770
Pm2 0.2192 0.5000 0.1642
Ho1 0.0000 0.5000 0.5000
Er1 0.0000 0.0000 0.5000
Er2 0.0703 0.5000 0.8092
Er3 0.1317 0.0000 0.9937
Er4 0.2116 0.5000 0.4237
```

Entry 11:
VASP calculation (PBE) on crystalline PRhSe3 at its relaxed geometry.

Crystal system = cubic
Distance to the lowest polymorph of the same formula = 106 meV/atom
N(E_F) = 6.212 states/eV/cell
Raw formation energy = 848.1 meV/atom

```
data_PRhSe3
_chemical_formula_sum 'P1 Rh1 Se3'
_symmetry_space_group_name_H-M 'P m -3 m'
_symmetry_Int_Tables_number 221
_symmetry_space_group_name_Hall '-P 4 2 3'
_cell_length_a 4.7477
_cell_length_b 4.7477
_cell_length_c 4.7477
_cell_angle_alpha 90.00
_cell_angle_beta 90.00
_cell_angle_gamma 90.00
loop_
_atom_site_label
_atom_site_fract_x
_atom_site_fract_y
_atom_site_fract_z
P1 0.0000 0.0000 0.0000
Rh1 0.5000 0.5000 0.5000
Se1 0.0000 0.0000 0.5000
```

Entry 12:
VASP calculation (PBE) on crystalline K2LaSc at its relaxed geometry.

Crystal system = orthorhombic
ΔH_f (0 K) = 0.52 eV per atom
Distance to the lowest polymorph of the same formula = 215 meV/atom
N(E_F) = 13.856 states/eV/cell

```
data_K2LaSc
_chemical_formula_sum 'K4 La2 Sc2'
_symmetry_space_group_name_H-M 'I m m m'
_symmetry_Int_Tables_number 71
_symmetry_space_group_name_Hall '-I 2 2'
_cell_length_a 3.7214
_cell_length_b 6.0873
_cell_length_c 14.6274
_cell_angle_alpha 90.00
_cell_angle_beta 90.00
_cell_angle_gamma 90.00
loop_
_atom_site_label
_atom_site_fract_x
_atom_site_fract_y
_atom_site_fract_z
K1 0.0000 0.0000 0.2251
La1 0.0000 0.5000 0.0000
Sc1 0.0000 0.5000 0.5000
```

Entry 13:
VASP calculation (PBE) on crystalline PmPr6In6 at its relaxed geometry.

Crystal system = hexagonal
ΔH_f (0 K) = -0.34 eV per atom
N(E_F) = 14.630 states/eV/cell

```
data_PmPr6In6
_chemical_formula_sum 'Pm1 Pr6 In6'
_symmetry_space_group_name_H-M 'P 6/m m m'
_symmetry_Int_Tables_number 191
_symmetry_space_group_name_Hall '-P 6 2'
_cell_length_a 6.4193
_cell_length_b 6.4193
_cell_length_c 11.2382
_cell_angle_alpha 90.00
_cell_angle_beta 90.00
_cell_angle_gamma 120.00
loop_
_atom_site_label
_atom_site_fract_x
_atom_site_fract_y
_atom_site_fract_z
Pm1 0.0000 0.0000 0.0000
Pr1 0.0000 0.0000 0.3336
Pr2 0.3333 0.6667 0.0000
Pr3 0.3333 0.6667 0.5000
In1 0.0000 0.5000 0.2461
```

Entry 14:
VASP calculation (PBE) on crystalline Pm2DyTm7 at its relaxed geometry.

Crystal system = orthorhombic
ΔH_f (0 K) = 0.16 eV per atom
Distance to the lowest polymorph of the same formula = 0 meV/atom
N(E_F) = 28.817 states/eV/cell

```
data_Pm2DyTm7
_chemical_formula_sum 'Pm4 Dy2 Tm14'
_symmetry_space_group_name_H-M 'C m m m'
_symmetry_Int_Tables_number 65
_symmetry_space_group_name_Hall '-C 2 2'
_cell_length_a 6.4099
_cell_length_b 28.5373
_cell_length_c 3.4923
_cell_angle_alpha 90.00
_cell_angle_beta 90.00
_cell_angle_gamma 90.00
loop_
_atom_site_label
_atom_site_fract_x
_atom_site_fract_y
_atom_site_fract_z
Pm1 0.0000 0.2088 0.0000
Dy1 0.0000 0.5000 0.5000
Tm1 0.0000 0.0000 0.0000
Tm2 0.0000 0.3161 0.5000
Tm3 0.2463 0.4021 0.0000
```